Entry 1:
AgOsRu2I PBE optimized geometry; space-group type = P4/mmm; formation energy (no corrections) = 1.51 eV per atom; total magnetic moment = 1.67 μB per cell
1.0
4.718 0.000 0.000
0.000 5.228 0.000
0.000 0.000 4.718
I Ru Os Ag
1 2 1 1
Cartesian
2.359 2.614 2.359
0.000 0.000 2.359
2.359 0.000 0.000
0.000 0.000 0.000
0.000 2.614 0.000

Entry 2:
AgSb2OsI PBE optimized geometry; offset from the most stable computed form = 0.0 meV/atom; space-group type = P4/mmm; formation energy (no corrections) = 0.70 eV per atom; total magnetic moment = 0.00 μB per cell
1.0
-2.698 -1.692 3.901
-2.432 -3.176 -3.059
4.113 -4.155 1.043
I Sb Os Ag
1 2 1 1
Cartesian
2.057 -2.077 0.521
-1.216 -1.588 -1.530
-1.349 -0.846 1.951
0.000 0.000 0.000
-0.508 -4.511 0.942

Entry 3:
AgSb2OsI PBE optimized geometry; offset from the most stable computed form = 997.5 meV/atom; space-group type = P4/mmm; formation energy (no corrections) = 1.70 eV per atom; total magnetic moment = 2.53 μB per cell
1.0
-1.400 -4.416 2.626
5.118 -0.959 1.117
-0.461 2.860 4.564
I Sb Os Ag
1 2 1 1
Cartesian
-0.230 1.430 2.282
2.559 -0.479 0.559
-0.700 -2.208 1.313
1.628 -1.257 4.154
0.000 0.000 0.000

Entry 4:
AgOsSe2I PBE optimized geometry; space-group type = P4/mmm; formation energy (no corrections) = 1.59 eV per atom; total magnetic moment = 4.89 μB per cell
1.0
5.001 0.000 0.000
0.000 5.421 0.000
0.000 0.000 5.001
I Os Se Ag
1 1 2 1
Cartesian
2.501 2.711 2.501
0.000 2.711 0.000
0.000 0.000 2.501
2.501 0.000 0.000
0.000 0.000 0.000

Entry 5:
TaAgOs2I PBE optimized geometry; space-group type = P4/mmm; formation energy (no corrections) = 2.86 eV per atom; total magnetic moment = 1.43 μB per cell
1.0
4.880 0.000 0.000
0.000 5.013 0.000
0.000 0.000 4.880
I Os Ag Ta
1 2 1 1
Cartesian
0.000 2.506 0.000
0.000 0.000 2.440
2.440 0.000 0.000
0.000 0.000 0.000
2.440 2.506 2.440

Entry 6:
TcAgOsI2 PBE optimized geometry; space-group type = P4/mmm; formation energy (no corrections) = 1.35 eV per atom; total magnetic moment = 1.78 μB per cell
1.0
5.457 0.000 0.000
0.000 4.729 0.000
0.000 0.000 5.457
I Os Tc Ag
2 1 1 1
Cartesian
0.000 0.000 2.728
2.728 0.000 0.000
0.000 2.364 0.000
0.000 0.000 0.000
2.728 2.364 2.728

Entry 7:
AgTe2OsI PBE optimized geometry; offset from the most stable computed form = 898.5 meV/atom; space-group type = P4/mmm; formation energy (no corrections) = 1.65 eV per atom; total magnetic moment = 4.05 μB per cell
1.0
5.448 0.000 0.000
0.000 5.448 0.000
0.000 0.000 5.401
I Te Os Ag
1 2 1 1
Cartesian
0.000 0.000 2.701
0.000 2.724 0.000
2.724 0.000 0.000
2.724 2.724 2.701
0.000 0.000 0.000

Entry 8:
AgTe2OsI PBE optimized geometry; offset from the most stable computed form = 0.0 meV/atom; space-group type = P4/mmm; formation energy (no corrections) = 0.75 eV per atom; total magnetic moment = 0.00 μB per cell
1.0
-5.071 0.569 -0.586
0.265 -2.335 -4.566
-0.881 -5.179 2.597
I Te Os Ag
1 2 1 1
Cartesian
-0.441 -2.589 1.299
0.133 -1.168 -2.283
-2.535 0.284 -0.293
0.000 0.000 0.000
-2.843 -3.473 -1.277

Entry 9:
YAgOsI2 PBE optimized geometry; space-group type = P4/mmm; formation energy (no corrections) = 0.71 eV per atom; total magnetic moment = 0.00 μB per cell
1.0
5.264 0.000 0.000
0.000 5.135 0.000
0.000 0.000 5.264
I Y Os Ag
2 1 1 1
Cartesian
0.000 0.000 2.632
2.632 0.000 0.000
2.632 2.567 2.632
0.000 0.000 0.000
0.000 2.567 0.000

Entry 10:
Ag4P12I PBE optimized geometry; space-group type = Im-3; formation energy (no corrections) = 0.11 eV per atom; total magnetic moment = 0.00 μB per cell
1.0
7.068 0.000 -2.499
-3.534 6.121 -2.499
0.000 0.000 7.496
Ag P I
4 12 1
Cartesian
-1.767 3.060 -1.249
0.000 0.000 3.748
3.534 0.000 -1.249
1.767 3.060 1.249
4.890 0.769 2.515
4.868 2.271 -1.273
0.867 3.040 -1.226
-0.423 2.271 2.482
2.667 3.081 3.725
-1.334 3.850 3.772
1.779 4.619 -2.515
1.755 1.501 5.014
3.956 3.850 0.017
3.066 0.769 1.226
0.468 5.351 1.273
-1.356 5.351 -0.017
0.000 0.000 0.000

Entry 11:
Ag12P5I3 PBE optimized geometry; space-group type = Ia-3d; formation energy (no corrections) = 0.29 eV per atom; total magnetic moment = 0.00 μB per cell
1.0
13.676 0.000 0.000
-4.559 12.894 0.000
-4.559 -6.447 11.166
I P Ag
12 20 48
Cartesian
7.978 4.029 1.396
7.978 8.864 1.396
-1.140 5.641 6.979
1.140 -0.806 4.187
10.257 0.000 2.792
1.140 6.447 2.792
3.419 0.000 8.375
-5.698 6.447 8.375
3.419 7.253 6.979
5.698 0.806 4.187
-3.419 -2.418 9.770
-3.419 2.418 9.770
-1.140 3.223 2.792
-2.279 6.447 0.000
0.000 0.000 0.000
3.419 2.418 1.396
4.559 -3.223 5.583
4.559 6.447 0.000
-3.419 7.253 4.187
5.698 -4.029 9.770
5.698 5.641 4.187
1.140 -3.223 8.375
3.419 9.670 2.792
2.279 3.223 5.583
6.838 0.000 0.000
-2.279 -3.223 5.583
-1.140 0.806 6.979
-1.140 10.476 1.396
-4.559 3.223 5.583
7.978 -0.806 6.979
1.140 4.029 9.770
5.698 3.223 8.375
9.082 1.016 0.195
0.036 3.901 4.801
10.185 3.378 3.360
5.771 2.002 0.978
2.069 4.620 7.611
10.010 6.179 2.028
-1.067 7.822 4.338
-3.491 10.891 0.978
0.210 8.274 7.611
5.945 6.714 2.028
6.873 3.562 4.606
6.873 11.878 0.195
-4.349 5.677 5.778
3.172 4.825 1.245
-4.594 9.331 4.606
2.315 -2.546 6.365
-0.210 1.058 2.223
3.172 8.336 0.782
5.771 9.516 3.360
-0.893 4.557 0.782
-2.489 7.505 8.943
3.347 5.071 4.338
6.628 7.216 5.778
5.452 -1.622 9.921
1.212 1.376 6.828
-2.069 -0.769 5.388
-0.893 8.069 1.245
-1.212 -3.069 7.806
7.048 -1.058 2.223
5.452 1.890 10.384
1.386 -1.890 10.384
2.244 8.993 4.801
4.769 5.389 8.943
9.153 -2.885 6.561
8.907 0.769 5.388
-2.315 -5.431 10.971
1.386 1.622 9.921
4.349 -1.827 3.556
-1.386 -0.267 9.139
-2.315 2.885 6.561
8.050 -4.444 10.189
5.626 -1.376 6.828
-1.212 4.444 10.189
-5.452 0.267 9.139
2.489 1.827 3.556
-5.626 3.069 7.806
4.523 2.546 6.365
-4.523 5.431 10.971

Entry 12:
Ag3PI PBE optimized geometry; offset from the most stable computed form = 0.0 meV/atom; space-group type = Pm-3m; formation energy (no corrections) = 0.20 eV per atom; total magnetic moment = 0.00 μB per cell
1.0
4.934 0.000 0.000
0.000 4.934 0.000
0.000 0.000 4.934
I P Ag
1 1 3
Cartesian
2.467 2.467 2.467
0.000 0.000 0.000
0.000 2.467 0.000
0.000 0.000 2.467
2.467 0.000 0.000

Entry 13:
AgPI PBE optimized geometry; offset from the most stable computed form = 118.8 meV/atom; space-group type = P-1; formation energy (no corrections) = 0.08 eV per atom; total magnetic moment = 0.00 μB per cell
1.0
-3.253 2.934 -0.120
-3.365 -0.287 4.376
2.771 6.458 4.939
Ag P I
2 2 2
Cartesian
-0.445 4.554 4.497
-3.402 4.551 4.698
-2.151 2.707 5.796
-1.697 6.397 3.399
-0.534 1.067 1.905
-3.313 8.038 7.290

Entry 14:
Ag12P3I5 PBE optimized geometry; space-group type = Ia-3d; formation energy (no corrections) = 0.09 eV per atom; total magnetic moment = 0.00 μB per cell
1.0
14.000 0.000 0.000
-4.667 13.199 0.000
-4.667 -6.600 11.431
P I Ag
12 20 48
Cartesian
8.167 4.125 1.429
8.167 9.075 1.429
-1.167 5.775 7.144
1.167 -0.825 4.287
10.500 0.000 2.858
1.167 6.600 2.858
3.500 0.000 8.573
-5.833 6.600 8.573
3.500 7.425 7.144
5.833 0.825 4.287
-3.500 -2.475 10.002
-3.500 2.475 10.002
-1.167 3.300 2.858
-2.333 6.600 0.000
0.000 0.000 0.000
3.500 2.475 1.429
4.667 -3.300 5.715
4.667 6.600 0.000
-3.500 7.425 4.287
5.833 -4.125 10.002
5.833 5.775 4.287
1.167 -3.300 8.573
3.500 9.900 2.858
2.333 3.300 5.715
7.000 0.000 0.000
-2.333 -3.300 5.715
-1.167 0.825 7.144
-1.167 10.724 1.429
-4.667 3.300 5.715
8.167 -0.825 7.144
1.167 4.125 10.002
5.833 3.300 8.573
9.562 1.219 0.941
-0.229 4.724 5.131
9.993 3.220 2.801
6.340 2.484 1.526
2.038 5.526 7.689
9.469 6.136 1.973
-0.660 7.336 4.327
-4.007 10.715 1.526
0.295 7.673 7.689
6.864 7.064 1.973
6.771 3.094 4.189
6.771 11.981 0.941
-4.372 6.122 6.657
2.469 5.123 1.388
-4.438 10.105 4.189
2.105 -1.875 6.300
-0.295 0.596 2.914
2.469 8.540 0.585
6.340 9.979 2.801
-0.136 4.659 0.585
-2.628 7.195 8.517
2.993 5.864 4.327
6.705 7.078 6.657
4.803 -1.477 10.043
1.673 0.736 7.104
-2.038 -0.478 4.774
-0.136 8.076 1.388
-1.673 -3.380 8.630
7.295 -0.596 2.914
4.803 1.941 10.846
2.197 -1.941 10.846
2.562 8.475 5.131
4.962 6.004 8.517
9.105 -3.506 7.242
9.038 0.478 4.774
-2.105 -5.381 10.490
2.197 1.477 10.043
4.372 -1.074 3.742
-2.197 -0.464 9.458
-2.105 3.506 7.242
8.673 -4.116 9.905
5.327 -0.736 7.104
-1.673 4.116 9.905
-4.803 0.464 9.458
2.628 1.074 3.742
-5.327 3.380 8.630
4.895 1.875 6.300
-4.895 5.381 10.490

Entry 15:
AgPI PBE optimized geometry; offset from the most stable computed form = 133.9 meV/atom; space-group type = Cmce; formation energy (no corrections) = 0.10 eV per atom; total magnetic moment = 0.00 μB per cell
1.0
-2.759 -4.807 -5.031
8.570 0.663 0.236
0.265 -5.104 4.731
P Ag I
4 4 4
Cartesian
-0.329 -5.200 -0.419
4.896 -3.945 -4.484
6.405 -4.048 0.355
1.180 -5.303 4.419
0.769 -2.815 -0.516
6.687 -4.029 2.968
5.308 -6.433 0.452
-0.610 -5.218 -3.032
3.723 -6.086 -1.795
1.099 -7.971 1.445
2.354 -3.162 1.731
4.977 -1.277 -1.509

Entry 16:
AgPI2 PBE optimized geometry; offset from the most stable computed form = 274.5 meV/atom; space-group type = Fm-3m; formation energy (no corrections) = 0.73 eV per atom; total magnetic moment = 0.00 μB per cell
1.0
0.000 3.712 3.712
3.712 0.000 3.712
3.712 3.712 0.000
I P Ag
2 1 1
Cartesian
1.856 1.856 1.856
5.568 5.568 5.568
0.000 0.000 0.000
3.712 3.712 3.712

Entry 17:
AgPI PBE optimized geometry; offset from the most stable computed form = 257.0 meV/atom; space-group type = Cm; formation energy (no corrections) = 0.22 eV per atom; total magnetic moment = 0.00 μB per cell
1.0
-1.727 3.986 -4.161
-1.202 -3.175 -2.542
-5.280 -1.743 4.673
Ag P I
2 2 2
Cartesian
-5.544 0.371 2.158
-3.505 -0.345 -1.449
-3.494 0.678 0.804
-1.455 -0.038 -2.803
-3.680 3.132 -2.171
-6.921 0.673 -1.106

Entry 18:
AgPI PBE optimized geometry; offset from the most stable computed form = 129.6 meV/atom; space-group type = P-1; formation energy (no corrections) = 0.09 eV per atom; total magnetic moment = 0.00 μB per cell
1.0
4.035 0.004 0.001
-0.268 6.308 0.011
-0.014 -2.127 8.285
Ag P I
2 2 2
Cartesian
1.740 4.285 6.105
2.013 -0.101 2.191
-0.005 0.580 0.873
3.758 3.605 7.423
-0.134 3.154 0.005
-0.007 -1.064 4.142

Entry 19:
AgPI6 PBE optimized geometry; space-group type = P-1; formation energy (no corrections) = 0.06 eV per atom; total magnetic moment = 0.00 μB per cell
1.0
-2.823 2.426 6.058
1.598 -4.932 8.316
4.500 1.738 6.459
Ag P I
1 1 6
Cartesian
1.637 -0.384 10.417
0.000 0.000 0.000
4.114 -0.194 8.429
1.293 2.309 10.409
-0.331 1.353 6.798
1.982 -3.076 10.424
-0.839 -0.573 12.405
3.606 -2.121 14.036